Entry 1:
Here is a geometry-optimized ScGaSi structure from the Alexandria database. Energies are from PBE.

ρ, g/cm3: 4.53
Formation energy (no corrections), eV per atom: -0.4536

Structure (CIF):
```
data_ScGaSi
_chemical_formula_sum 'Sc4 Ga4 Si4'
_symmetry_space_group_name_H-M 'P 1'
_symmetry_Int_Tables_number 1
_cell_length_a 5.8165
_cell_length_b 3.9956
_cell_length_c 9.7352
_cell_angle_alpha 90.00
_cell_angle_beta 112.42
_cell_angle_gamma 90.00
loop_
_symmetry_equiv_pos_as_xyz
'x,y,z'
loop_
_atom_site_label
_atom_site_fract_x
_atom_site_fract_y
_atom_site_fract_z
_atom_site_occupancy
Si1 0.4104 0.5000 0.3125 1
Si2 0.6413 0.5000 0.5958 1
Si3 0.6413 0.0000 0.0958 1
Si4 0.4104 0.0000 0.8125 1
Sc1 0.8926 0.0000 0.7800 1
Sc2 0.3037 0.0000 0.5004 1
Sc3 0.3037 0.5000 0.0004 1
Sc4 0.8926 0.5000 0.2800 1
Ga1 0.1251 0.0000 0.1494 1
Ga2 0.7705 0.5000 0.9510 1
Ga3 0.1251 0.5000 0.6494 1
Ga4 0.7705 0.0000 0.4510 1
```

---

Entry 2:
Here is a geometry-optimized Sc5Ga2Si structure from the Alexandria database. Energies are from PBE.

ρ, g/cm3: 4.00
Formation energy (no corrections), eV per atom: -0.5661

Structure (CIF):
```
data_Sc5Ga2Si
_chemical_formula_sum 'Sc10 Ga4 Si2'
_symmetry_space_group_name_H-M 'P 1'
_symmetry_Int_Tables_number 1
_cell_length_a 7.2116
_cell_length_b 7.2116
_cell_length_c 8.0751
_cell_angle_alpha 116.52
_cell_angle_beta 116.52
_cell_angle_gamma 90.00
loop_
_symmetry_equiv_pos_as_xyz
'x,y,z'
loop_
_atom_site_label
_atom_site_fract_x
_atom_site_fract_y
_atom_site_fract_z
_atom_site_occupancy
Sc1 0.5137 0.6853 0.6990 1
Sc2 0.9863 0.4863 0.3010 1
Sc3 0.1853 0.0137 0.6990 1
Sc4 0.4863 0.3147 0.3010 1
Sc5 0.8147 0.9863 0.3010 1
Sc6 0.0137 0.5137 0.6990 1
Sc7 0.5000 0.5000 0.0000 1
Sc8 0.3147 0.8147 0.3010 1
Sc9 0.6853 0.1853 0.6990 1
Sc10 0.0000 0.0000 0.0000 1
Ga1 0.3701 0.8701 0.0000 1
Ga2 0.6299 0.1299 0.0000 1
Ga3 0.1299 0.3701 0.0000 1
Ga4 0.8701 0.6299 0.0000 1
Si1 0.7500 0.7500 0.5000 1
Si2 0.2500 0.2500 0.5000 1
```

---

no.,VASP energy (eV per atom)
1,-5.3808
2,-5.9579